{"formula": "Sm2Dy6Ho5", "functional": "GGA-PBE", "state": "relaxed", "formation_energy_ev_per_atom": 0.099, "space_group": "No. 55", "magmom_total_mub_per_fu": 0.00, "vol_a3_per_cell": 837.72, "total_energy_ev_per_atom": -4.51, "lattice": [[11.6368, 0.0000, 0.0000], [0.0000, 20.1414, 0.0000], [0.0000, 0.0000, 3.5742]], "species": ["Sm", "Sm", "Sm", "Sm", "Dy", "Dy", "Dy", "Dy", "Dy", "Dy", "Dy", "Dy", "Dy", "Dy", "Dy", "Dy", "Ho", "Ho", "Ho", "Ho", "Ho", "Ho", "Ho", "Ho", "Ho", "Ho"], "fractional_positions": [[0.1673, 0.2132, 0.0000], [0.3327, 0.7132, 0.0000], [0.6673, 0.2868, 0.0000], [0.8327, 0.7868, 0.0000], [0.0587, 0.9208, 0.0000], [0.0811, 0.6329, 0.0000], [0.1757, 0.3695, 0.5000], [0.3243, 0.8695, 0.5000], [0.4189, 0.1329, 0.0000], [0.4413, 0.4208, 0.0000], [0.5587, 0.5792, 0.0000], [0.5811, 0.8671, 0.0000], [0.6757, 0.1305, 0.5000], [0.8243, 0.6305, 0.5000], [0.9189, 0.3671, 0.0000], [0.9413, 0.0792, 0.0000], [0.0000, 0.5000, 0.5000], [0.0918, 0.7758, 0.5000], [0.1991, 0.0509, 0.5000], [0.3009, 0.5509, 0.5000], [0.4082, 0.2758, 0.5000], [0.5000, 0.0000, 0.5000], [0.5918, 0.7242, 0.5000], [0.6991, 0.4491, 0.5000], [0.8009, 0.9491, 0.5000], [0.9082, 0.2242, 0.5000]]}